! GGA-PBEsol Cr2CoNi, optimized geometry; values from VASP
! E ... -8.569 eV/atom
! Space group ... Cmmm (65)
! Size of the total moment ... 0.00 μB per atom
! Calculated formation energy ... 0.1 eV/f.u.
&SYSTEM
  ibrav = 0, nat = 4, ntyp = 3
/
ATOMIC_SPECIES
Cr 52.00 Cr.upf
Co 58.93 Co.upf
Ni 58.69 Ni.upf
CELL_PARAMETERS angstrom
-1.312 1.054 1.741
-3.594 -1.786 -1.628
1.893 -2.532 2.960
ATOMIC_POSITIONS crystal
Cr 0.000 0.500 0.000
Cr 0.000 0.000 0.500
Co 0.500 0.500 0.500
Ni 0.500 0.000 0.000